The following is a DFT calculation (PBE-GGA) of an optimized crystal structure of SmTm2Al2Ga2.

The space group is R-3m (No. 166, hexagonal axes) and the conventional cell measures 4.3883, 4.3883 and 29.1070 Å, with angles of 90.00, 90.00 and 120.00 degrees. The asymmetric unit holds Sm at (0.0000, 0.0000, 0.0000), Tm at (0.0000, 0.0000, 0.1292), Al at (0.0000, 0.0000, 0.3978) and Ga at (0.0000, 0.0000, 0.2544).

The magnetization is 0.00 μB per formula unit. The formation energy from the elements comes out at -0.38 eV/atom. The value obtained for the volume is 485 Å³/cell.


The following is a DFT calculation (PBE-GGA) of an optimized crystal structure of SmTmAlGa.

The space group is F-43m (No. 216) and the conventional cell measures 7.213, 7.213 and 7.213 Å, with angles of 90.00, 90.00 and 90.00 degrees. The asymmetric unit holds Sm at (0.000, 0.000, 0.000), Tm at (0.000, 0.000, 0.500), Al at (0.250, 0.250, 0.250) and Ga at (0.250, 0.250, 0.750).

The magnetization is 0.00 μB per formula unit. The polymorph energy (0 for the lowest one) comes out at 0.67 kcal/mol of atoms. The formation energy from the elements comes out at -0.46 eV/atom. The value obtained for the volume is 375 Å³/cell.


The following is a DFT calculation (PBE-GGA) of an optimized crystal structure of SmTmAlGa.

The space group is Amm2 (No. 38) and the conventional cell measures 4.091, 4.421 and 11.053 Å, with angles of 90.00, 90.00 and 90.00 degrees. The asymmetric unit holds Sm at (0.000, 0.000, 0.000), Tm at (0.500, 0.000, 0.281), Al at (0.000, 0.000, 0.714) and Ga at (0.500, 0.000, 0.566).

The magnetization is 0.00 μB per formula unit. The polymorph energy (0 for the lowest one) comes out at 0.00 kcal/mol of atoms. The formation energy from the elements comes out at -0.49 eV/atom. The value obtained for the volume is 200 Å³/cell.


The following is a DFT calculation (PBE-GGA) of an optimized crystal structure of Sm2Y2AlGa4.

The space group is I4/mmm (No. 139) and the conventional cell measures 7.037, 7.037 and 8.923 Å, with angles of 90.00, 90.00 and 90.00 degrees. The asymmetric unit holds Sm at (0.000, 0.000, 0.188), Y at (0.000, 0.500, 0.250), Al at (0.000, 0.000, 0.500) and Ga at (0.248, 0.248, 0.500).

The magnetization is 0.00 μB per formula unit. The formation energy from the elements comes out at -0.25 eV/atom. The value obtained for the volume is 442 Å³/cell.